Below is a relaxed Sm2AlPd5 crystal, with properties calculated at the PBE level.

## Properties
- E_form (meV per atom) = -779
- VASP energy (eV per atom) = -5.6717
- SG = I4mm (107)

Cell lengths 5.9773, 5.9773, 5.9773 Å; angles 117.17, 117.17, 94.98 degrees
With the nearest neighbours (Å) after each atom.
Fractional coordinates of all 8 atoms:
1 Sm 0.0000 0.5000 0.5000  10 Pd 2.97-3.12
2 Sm 0.5000 0.0000 0.5000  10 Pd 2.97-3.12
3 Al 0.3108 0.3108 0.0000  5 Pd 2.47-2.53
4 Pd 0.5187 0.5187 0.5483  1 Al 2.47
5 Pd 0.5187 0.9704 0.0000  1 Al 2.47
6 Pd 0.9704 0.5187 0.0000  1 Al 2.47
7 Pd 0.9704 0.9704 0.4517  1 Al 2.47
8 Pd 0.9975 0.9975 0.0000  1 Al 2.53


Below is a relaxed Zr10Ga3Sb3 crystal, with properties calculated at the PBE level.

## Properties
- energy relative to the elements, uncorrected (eV/atom) = -0.641
- VASP energy (eV per atom) = -7.3243
- SG = P-62m (189)

Cell lengths 8.3457, 8.3457, 5.7243 Å; angles 90.00, 90.00, 120.00 degrees
With the nearest neighbours (Å) after each atom.
Fractional coordinates of all 16 atoms:
1 Zr 0.0000 0.2458 0.0000  3 Sb 2.88-3.00, 2 Ga 3.10
2 Zr 0.0000 0.7479 0.5000  3 Ga 2.84-3.01, 2 Sb 3.10
3 Zr 0.2458 0.0000 0.0000  3 Sb 2.88-3.00, 2 Ga 3.10
4 Zr 0.2521 0.2521 0.5000  3 Ga 2.84-3.01, 2 Sb 3.10
5 Zr 0.3333 0.6667 0.2575  2 Zr 2.78-2.95, 3 Ga 2.94, 3 Sb 2.96
6 Zr 0.3333 0.6667 0.7425  2 Zr 2.78-2.95, 3 Ga 2.94, 3 Sb 2.96
7 Zr 0.6667 0.3333 0.2575  2 Zr 2.78-2.95, 3 Ga 2.94, 3 Sb 2.96
8 Zr 0.6667 0.3333 0.7425  2 Zr 2.78-2.95, 3 Ga 2.94, 3 Sb 2.96
9 Zr 0.7479 0.0000 0.5000  3 Ga 2.84-3.01, 2 Sb 3.10
10 Zr 0.7542 0.7542 0.0000  3 Sb 2.88-3.00, 2 Ga 3.10
11 Ga 0.0000 0.3873 0.5000  9 Zr 2.84-3.10
12 Ga 0.3873 0.0000 0.5000  9 Zr 2.84-3.10
13 Ga 0.6127 0.6127 0.5000  9 Zr 2.84-3.10
14 Sb 0.0000 0.6049 0.0000  9 Zr 2.88-3.10
15 Sb 0.3951 0.3951 0.0000  9 Zr 2.88-3.10
16 Sb 0.6049 0.0000 0.0000  9 Zr 2.88-3.10


Below is a relaxed La3TmAl8 crystal, with properties calculated at the PBE level.

## Properties
- E_form (meV per atom) = -486
- E above lowest polymorph (meV per atom) = 0.0
- VASP energy (eV per atom) = -4.5855
- SG = R3m (160)

Cell lengths 9.8891, 9.8891, 9.8891 Å; angles 33.43, 33.43, 33.43 degrees
With the nearest neighbours (Å) after each atom.
Fractional coordinates of all 12 atoms:
1 La 0.0000 0.0000 0.0000  12 Al 3.31-3.34, 3 Tm 3.49, 1 La 3.50
2 La 0.1252 0.1252 0.1252  12 Al 3.34-3.38, 4 La 3.48-3.50
3 La 0.4992 0.4992 0.4992  12 Al 3.33-3.38, 3 La 3.48, 1 Tm 3.51
4 Tm 0.6244 0.6244 0.6244  12 Al 3.31-3.33, 4 La 3.49-3.51
5 Al 0.0591 0.5612 0.5612  6 Al 2.83-2.90
6 Al 0.0633 0.0633 0.5650  6 Al 2.81-2.87
7 Al 0.0633 0.5650 0.0633  6 Al 2.81-2.87
8 Al 0.3118 0.3118 0.3118  6 Al 2.81-2.83
9 Al 0.5612 0.0591 0.5612  6 Al 2.83-2.90
10 Al 0.5612 0.5612 0.0591  6 Al 2.83-2.90
11 Al 0.5650 0.0633 0.0633  6 Al 2.81-2.87
12 Al 0.8128 0.8128 0.8128  6 Al 2.87-2.90


Below is a relaxed Ac2Cu3Sn crystal, with properties calculated at the PBE level.

## Properties
- E_form (meV per atom) = -313
- VASP energy (eV per atom) = -4.3979
- SG = Fmmm (69)

Cell lengths 8.9955, 8.8924, 6.2992 Å; angles 70.26, 68.51, 41.23 degrees
With the nearest neighbours (Å) after each atom.
Fractional coordinates of all 12 atoms:
1 Ac 0.2310 0.7690 0.7690  10 Cu 3.23-3.55, 2 Sn 3.45
2 Ac 0.2500 0.2500 0.2500  8 Cu 3.40-3.42, 4 Sn 3.43
3 Ac 0.7500 0.7500 0.7500  8 Cu 3.40-3.42, 4 Sn 3.43
4 Ac 0.7690 0.2310 0.2310  10 Cu 3.23-3.55, 2 Sn 3.45
5 Cu 0.1610 0.6763 0.3237  2 Cu 2.52-2.55, 1 Sn 2.67
6 Cu 0.1633 0.1633 0.8367  2 Cu 2.55, 1 Sn 2.69
7 Cu 0.3237 0.8390 0.1610  2 Cu 2.52-2.55, 1 Sn 2.67
8 Cu 0.6763 0.1610 0.8390  2 Cu 2.52-2.55, 1 Sn 2.67
9 Cu 0.8367 0.8367 0.1633  2 Cu 2.55, 1 Sn 2.69
10 Cu 0.8390 0.3237 0.6763  2 Cu 2.52-2.55, 1 Sn 2.67
11 Sn 0.3369 0.3369 0.6631  3 Cu 2.67-2.69
12 Sn 0.6631 0.6631 0.3369  3 Cu 2.67-2.69


Below is a relaxed YCuC2S crystal, with properties calculated at the PBE level.

## Properties
- energy relative to the elements, uncorrected (eV/atom) = 2.009
- VASP energy (eV per atom) = -4.6185
- SG = P4/mmm (123)

Cell lengths 4.5053, 4.5053, 5.2337 Å; angles 90.00, 90.00, 90.00 degrees
With the nearest neighbours (Å) after each atom.
Fractional coordinates of all 5 atoms:
1 Y 0.0000 0.0000 0.0000  4 C 2.25
2 Cu 0.5000 0.5000 0.5000  4 S 3.19, 8 C 3.45
3 C 0.0000 0.5000 0.0000  2 Y 2.25
4 C 0.5000 0.0000 0.0000  2 Y 2.25
5 S 0.0000 0.0000 0.5000  2 Y 2.62


Below is a relaxed Rb2LaRe crystal, with properties calculated at the PBE level.

## Properties
- E_form (meV per atom) = 1804
- E above lowest polymorph (meV per atom) = 429.3
- VASP energy (eV per atom) = -3.0241
- SG = Fm-3m (225)

Cell lengths 5.8517, 5.8517, 5.8517 Å; angles 60.00, 60.00, 60.00 degrees
With the nearest neighbours (Å) after each atom.
Fractional coordinates of all 4 atoms:
1 Rb 0.2500 0.2500 0.2500  4 La 3.58, 4 Re 3.58
2 Rb 0.7500 0.7500 0.7500  4 La 3.58, 4 Re 3.58
3 La 0.0000 0.0000 0.0000  8 Rb 3.58
4 Re 0.5000 0.5000 0.5000  8 Rb 3.58


Below is a relaxed Sr2H4Pt crystal, with properties calculated at the PBE level.

## Properties
- E above lowest polymorph (meV per atom) = 135.8
- VASP energy (eV per atom) = -3.7395
- SG = I4/mmm (139)

Cell lengths 7.7727, 7.7727, 7.7727 Å; angles 152.31, 152.31, 39.57 degrees
With the nearest neighbours (Å) after each atom.
Fractional coordinates of all 7 atoms:
1 Sr 0.1353 0.1353 0.0000  9 H 2.53-2.76
2 Sr 0.8647 0.8647 0.0000  9 H 2.53-2.76
3 H 0.0000 0.5000 0.5000  2 Pt 1.86
4 H 0.3085 0.3085 0.0000  5 Sr 2.53-2.76, 1 Pt 2.80
5 H 0.5000 0.0000 0.5000  2 Pt 1.86
6 H 0.6915 0.6915 0.0000  5 Sr 2.53-2.76, 1 Pt 2.80
7 Pt 0.5000 0.5000 0.0000  4 H 1.86


Below is a relaxed RbPaI2Br8 crystal, with properties calculated at the PBE level.

## Properties
- energy relative to the elements, uncorrected (eV/atom) = -1.028
- VASP energy (eV per atom) = -3.2738
- SG = P-1 (2)

Cell lengths 7.2861, 8.8899, 9.9533 Å; angles 105.72, 90.81, 107.30 degrees
With the nearest neighbours (Å) after each atom.
Fractional coordinates of all 12 atoms:
1 Rb 0.0000 0.0000 0.0000  6 Br 3.57-3.62
2 Pa 0.0000 0.0000 0.5000  6 Br 2.71-2.77
3 I 0.4383 0.5272 0.7751  1 Br 2.59
4 I 0.5617 0.4728 0.2249  1 Br 2.59
5 Br 0.0773 0.8047 0.6454  1 Pa 2.71
6 Br 0.1054 0.8220 0.2652  1 Pa 2.71
7 Br 0.3799 0.2033 0.5631  1 Pa 2.77, 1 I 2.98
8 Br 0.4901 0.8034 0.9669  1 I 2.59
9 Br 0.5099 0.1966 0.0331  1 I 2.59
10 Br 0.6201 0.7967 0.4369  1 Pa 2.77, 1 I 2.98
11 Br 0.8946 0.1780 0.7348  1 Pa 2.71
12 Br 0.9227 0.1953 0.3546  1 Pa 2.71